A plane-wave DFT calculation with PBE was carried out for a geometry-optimized Ac8IrOs3I4 structure.

Computed properties:
The calculation puts the total energy at -92.67 eV/f.u.

a b c (Å): 9.9497 9.9497 9.9497
angles (deg): 52.42 52.42 52.42
Closest atoms and distances in Å follow each position.
Atoms (fractional coordinates):
Ac  0.2240  0.7296  0.7296  2 Os 2.97, 1 Ir 3.01
Ac  0.2279  0.2279  0.2279  3 Os 2.99
Ac  0.2704  0.2704  0.7760  2 Os 2.97, 1 Ir 3.01
Ac  0.2704  0.7760  0.2704  2 Os 2.97, 1 Ir 3.01
Ac  0.7296  0.2240  0.7296  2 Os 2.97, 1 Ir 3.01
Ac  0.7296  0.7296  0.2240  2 Os 2.97, 1 Ir 3.01
Ac  0.7721  0.7721  0.7721  3 Os 2.99
Ac  0.7760  0.2704  0.2704  2 Os 2.97, 1 Ir 3.01
Ir  0.5000  0.5000  0.5000  6 Ac 3.01
Os  0.0000  0.0000  0.5000  6 Ac 2.97-2.99
Os  0.0000  0.5000  0.0000  6 Ac 2.97-2.99
Os  0.5000  0.0000  0.0000  6 Ac 2.97-2.99
I  0.0000  0.0000  0.0000  6 Ac 3.69
I  0.0000  0.5000  0.5000  6 Ac 3.71-3.72
I  0.5000  0.0000  0.5000  6 Ac 3.71-3.72
I  0.5000  0.5000  0.0000  6 Ac 3.71-3.72